Material: LaIn2Hg
Method: DFT, PBE-GGA
State: optimized geometry

E = -2.9887 eV/atom
D(E_F) = 3.44 states/eV/f.u.

Geometry as CIF:
```
data_LaIn2Hg
_space_group_name_H-M_alt 'P 1'
_space_group_IT_number 1
_space_group_name_Hall 'P 1'
_cell_length_a 3.8404
_cell_length_b 3.8404
_cell_length_c 7.4718
_cell_angle_alpha 90.00
_cell_angle_beta 90.00
_cell_angle_gamma 90.00
loop_
_atom_site_label
_atom_site_type_symbol
_atom_site_fract_x
_atom_site_fract_y
_atom_site_fract_z
In1 In 0.0000 0.0000 0.9961
In2 In 0.5000 0.5000 0.2243
La1 La 0.0000 0.0000 0.5075
Hg1 Hg 0.5000 0.5000 0.7721
```